! ZrMnSi2 (PBE, optimized geometry); values from VASP
! - formation energy (no corrections) (meV per atom) = -427
! - electronic total energy (eV per cell) = -30.3
! - size of the total moment (μB per atom) = 0.72
&SYSTEM
  ibrav = 0, nat = 4, ntyp = 3
/
ATOMIC_SPECIES
Mn 54.94 Mn.upf
Si 28.09 Si.upf
Zr 91.22 Zr.upf
ATOMIC_POSITIONS crystal
Mn 0.5000 0.7659 0.8451
Si 0.0000 0.2113 0.9538
Si 0.5000 0.0398 0.2939
Zr 0.0000 0.4830 0.4072
CELL_PARAMETERS angstrom
-0.7302 -2.8318 2.2267
0.2947 -2.3176 -2.8506
4.7431 -1.6582 -0.5534

---

! Ac4GeTe2Pb (PBE, optimized geometry); values from VASP
! - formation energy (no corrections) (meV per atom) = -1121
! - electronic total energy (eV per cell) = -40.0
! - size of the total moment (μB per atom) = 0.00
&SYSTEM
  ibrav = 0, nat = 8, ntyp = 4
/
ATOMIC_SPECIES
Ac 227.00 Ac.upf
Ge 72.64 Ge.upf
Te 127.60 Te.upf
Pb 207.20 Pb.upf
ATOMIC_POSITIONS crystal
Ac 0.5000 0.2544 0.2343
Ac 0.5000 0.7456 0.7657
Ac 0.0000 0.2660 0.7725
Ac 0.0000 0.7340 0.2275
Ge 0.5000 0.5000 0.0000
Te 0.5000 0.0000 0.5000
Te 0.0000 0.5000 0.5000
Pb 0.0000 0.0000 0.0000
CELL_PARAMETERS angstrom
-1.4310 2.7639 -3.5827
-7.8897 -1.6013 1.9159
2.5189 6.6983 4.1615